A relaxed structure of BaNa3In, computed with PBE.

Cell and atoms, written as POSCAR:
```
BaNa3In
1.0
5.973 0.000 0.000
0.000 5.973 0.000
0.000 0.000 5.973
Ba Na In
1 3 1
direct
0.500 0.500 0.500
0.000 0.500 0.000
0.500 0.000 0.000
0.000 0.000 0.500
0.000 0.000 0.000
```

Output
The calculation puts the spin magnetization at 0.00 μB/cell. The value obtained for the density of states at the Fermi level is 4.5 states/eV per cell. For the calculated volume, the calculation gives 42.61 Å³ per atom. The formation energy comes out at 0.057 eV/atom.